[1]
Compound: LuFeAsPd
Source: the Open Quantum Materials Database
Functional: PBE-GGA
Structure: optimized geometry

Properties
Space-group type: F-43m
Total energy in eV/atom: -5.993
Spin magnetization in μB/f.u.: 1.89
Crystal system: cubic

Cell lengths 4.531, 4.531, 4.531 Å; angles 60.00, 60.00, 60.00 degrees
Element x y z (fractional)
As1 0.000 0.000 0.000
Pd1 0.250 0.250 0.250
Fe1 0.750 0.750 0.750
Lu1 0.500 0.500 0.500



[2]
Compound: LuFeAsPd
Source: the Open Quantum Materials Database
Functional: PBE-GGA
Structure: optimized geometry

Properties
Space-group type: F-43m
Total energy in eV/atom: -6.068
Spin magnetization in μB/f.u.: 2.63
Crystal system: cubic

Cell lengths 4.600, 4.600, 4.600 Å; angles 60.00, 60.00, 60.00 degrees
Element x y z (fractional)
Fe1 0.750 0.750 0.750
Lu1 0.250 0.250 0.250
Pd1 0.500 0.500 0.500
As1 0.000 0.000 0.000



[3]
Compound: LuFeAsPt
Source: the Open Quantum Materials Database
Functional: PBE-GGA
Structure: optimized geometry

Properties
Space-group type: F-43m
Total energy in eV/atom: -6.326
Spin magnetization in μB/f.u.: 2.94
Crystal system: cubic

Cell lengths 4.625, 4.625, 4.625 Å; angles 60.00, 60.00, 60.00 degrees
Element x y z (fractional)
As1 0.000 0.000 0.000
Pt1 0.500 0.500 0.500
Fe1 0.750 0.750 0.750
Lu1 0.250 0.250 0.250



[4]
Compound: LuFeAsPt
Source: the Open Quantum Materials Database
Functional: PBE-GGA
Structure: optimized geometry

Properties
Space-group type: F-43m
Total energy in eV/atom: -6.226
Spin magnetization in μB/f.u.: 1.93
Crystal system: cubic

Cell lengths 4.562, 4.562, 4.562 Å; angles 60.00, 60.00, 60.00 degrees
Element x y z (fractional)
Pt1 0.250 0.250 0.250
Lu1 0.500 0.500 0.500
Fe1 0.750 0.750 0.750
As1 0.000 0.000 0.000



[5]
Compound: LuFeReAs
Source: the Open Quantum Materials Database
Functional: PBE-GGA
Structure: optimized geometry

Properties
Space-group type: F-43m
Total energy in eV/atom: -7.097
Spin magnetization in μB/f.u.: 4.08
Crystal system: cubic

Cell lengths 4.573, 4.573, 4.573 Å; angles 60.00, 60.00, 60.00 degrees
Element x y z (fractional)
Lu1 0.250 0.250 0.250
As1 0.000 0.000 0.000
Re1 0.500 0.500 0.500
Fe1 0.750 0.750 0.750



[6]
Compound: LuFeReAs
Source: the Open Quantum Materials Database
Functional: PBE-GGA
Structure: optimized geometry

Properties
Space-group type: F-43m
Total energy in eV/atom: -7.216
Spin magnetization in μB/f.u.: 0.98
Crystal system: cubic

Cell lengths 4.436, 4.436, 4.436 Å; angles 60.00, 60.00, 60.00 degrees
Element x y z (fractional)
As1 0.000 0.000 0.000
Lu1 0.500 0.500 0.500
Fe1 0.750 0.750 0.750
Re1 0.250 0.250 0.250